The following is a GGA-PBE calculation of crystalline ReHg2W at its relaxed geometry, from Alexandria. Values from VASP.

Quantum ESPRESSO input file:
```
&SYSTEM
  ibrav = 0, nat = 8, ntyp = 3
/
ATOMIC_SPECIES
Re 186.21 Re.upf
Hg 200.59 Hg.upf
W 183.84 W.upf
ATOMIC_POSITIONS crystal
Re 0.000 0.000 0.000
Re 0.750 0.250 0.500
Hg 0.628 0.125 0.250
Hg 0.122 0.625 0.250
Hg 0.375 0.372 0.750
Hg 0.875 0.878 0.750
W 0.500 0.500 0.000
W 0.250 0.750 0.500
CELL_PARAMETERS angstrom
7.606 0.000 0.000
0.000 7.606 0.000
3.803 3.803 2.738
```

Properties
Polymorph energy (0 for the lowest one) ... 4.22 eV/f.u.
Fermi-level density of states ... 2.92 states/eV/f.u.
Energy of formation from the pure elements ... 1555 meV/atom
Total magnetic moment ... 1.20 μB/f.u.


The following is a GGA-PBE calculation of crystalline Tl6In8Sn at its relaxed geometry, from Alexandria. Values from VASP.

Quantum ESPRESSO input file:
```
&SYSTEM
  ibrav = 0, nat = 15, ntyp = 3
/
ATOMIC_SPECIES
Tl 204.38 Tl.upf
In 114.82 In.upf
Sn 118.71 Sn.upf
ATOMIC_POSITIONS crystal
Tl 0.666 0.663 0.107
Tl 0.666 0.893 0.556
Tl 0.666 0.444 0.337
Tl 0.334 0.337 0.893
Tl 0.334 0.107 0.444
Tl 0.334 0.556 0.663
In 0.832 0.066 0.281
In 0.832 0.719 0.785
In 0.832 0.215 0.934
In 0.168 0.934 0.719
In 0.168 0.281 0.215
In 0.168 0.785 0.066
In 0.827 0.333 0.667
In 0.173 0.667 0.333
Sn 0.500 0.000 0.000
CELL_PARAMETERS angstrom
6.302 0.000 0.000
0.000 7.847 -4.530
0.000 0.000 9.061
```

Properties
Fermi-level density of states ... 8.01 states/eV/f.u.
Energy of formation from the pure elements ... 42 meV/atom
Total magnetic moment ... 0.00 μB/f.u.


The following is a GGA-PBE calculation of crystalline Ag3Mo at its relaxed geometry, from Alexandria. Values from VASP.

Quantum ESPRESSO input file:
```
&SYSTEM
  ibrav = 0, nat = 4, ntyp = 2
/
ATOMIC_SPECIES
Ag 107.87 Ag.upf
Mo 95.94 Mo.upf
ATOMIC_POSITIONS crystal
Ag 0.000 0.000 0.000
Ag 0.000 0.500 0.500
Ag 0.500 0.000 0.500
Mo 0.500 0.500 0.000
CELL_PARAMETERS angstrom
4.195 0.000 0.000
0.000 4.195 0.000
0.000 0.000 4.195
```

Properties
Polymorph energy (0 for the lowest one) ... 1.71 eV/f.u.
Fermi-level density of states ... 2.68 states/eV/f.u.
Energy of formation from the pure elements ... 725 meV/atom
Total magnetic moment ... 3.87 μB/f.u.


The following is a GGA-PBE calculation of crystalline BaH2Br at its relaxed geometry, from Alexandria. Values from VASP.

Quantum ESPRESSO input file:
```
&SYSTEM
  ibrav = 0, nat = 8, ntyp = 3
/
ATOMIC_SPECIES
H 1.01 H.upf
Ba 137.33 Ba.upf
Br 79.90 Br.upf
ATOMIC_POSITIONS crystal
H 0.875 0.125 0.250
H 0.875 0.625 0.250
H 0.375 0.125 0.750
H 0.875 0.125 0.750
Ba 0.000 0.000 0.000
Ba 0.750 0.250 0.500
Br 0.500 0.500 0.000
Br 0.250 0.750 0.500
CELL_PARAMETERS angstrom
-1.156 2.843 3.409
-2.721 -3.237 1.777
5.473 -3.525 7.881
```

Properties
Polymorph energy (0 for the lowest one) ... 1.21 eV/f.u.
Fermi-level density of states ... 0.92 states/eV/f.u.
Total magnetic moment ... 0.00 μB/f.u.


The following is a GGA-PBE calculation of crystalline CeHoSbAs at its relaxed geometry, from Alexandria. Values from VASP.

Quantum ESPRESSO input file:
```
&SYSTEM
  ibrav = 0, nat = 4, ntyp = 4
/
ATOMIC_SPECIES
Ce 140.12 Ce.upf
Ho 164.93 Ho.upf
Sb 121.76 Sb.upf
As 74.92 As.upf
ATOMIC_POSITIONS crystal
Ce 0.994 0.994 0.018
Ho 0.506 0.506 0.483
Sb 0.752 0.752 0.743
As 0.248 0.248 0.256
CELL_PARAMETERS angstrom
-2.672 2.674 2.011
-0.081 0.130 4.279
4.050 5.942 2.039
```

Properties
Fermi-level density of states ... 5.95 states/eV/f.u.
Total magnetic moment ... 0.72 μB/f.u.
Formation energy (no corrections) ... -487 kJ/mol of formula units


The following is a GGA-PBE calculation of crystalline InFeSbCl2 at its relaxed geometry, from Alexandria. Values from VASP.

Quantum ESPRESSO input file:
```
&SYSTEM
  ibrav = 0, nat = 5, ntyp = 4
/
ATOMIC_SPECIES
Sb 121.76 Sb.upf
Cl 35.45 Cl.upf
Fe 55.84 Fe.upf
In 114.82 In.upf
ATOMIC_POSITIONS crystal
Sb 0.000 0.000 0.000
Cl 0.000 0.000 0.500
Cl 0.500 0.000 0.000
Fe 0.500 0.500 0.500
In 0.000 0.500 0.000
CELL_PARAMETERS angstrom
5.211 0.000 0.000
0.000 6.237 0.000
0.000 0.000 5.211
```

Properties
Fermi-level density of states ... 7.96 states/eV/f.u.
Total magnetic moment ... 3.49 μB/f.u.
Formation energy (no corrections) ... 231 kJ/mol of formula units


The following is a GGA-PBE calculation of crystalline NaTlAs2Br at its relaxed geometry, from Alexandria. Values from VASP.

Quantum ESPRESSO input file:
```
&SYSTEM
  ibrav = 0, nat = 5, ntyp = 4
/
ATOMIC_SPECIES
Na 22.99 Na.upf
Tl 204.38 Tl.upf
As 74.92 As.upf
Br 79.90 Br.upf
ATOMIC_POSITIONS crystal
Na 0.500 0.500 0.500
Tl 0.000 0.000 0.000
As 0.000 0.500 0.000
As 0.500 0.000 0.000
Br 0.000 0.000 0.500
CELL_PARAMETERS angstrom
-0.125 -1.377 5.160
4.038 -3.402 -0.810
4.133 4.591 1.325
```

Properties
Polymorph energy (0 for the lowest one) ... 0.00 eV/f.u.
Fermi-level density of states ... 3.37 states/eV/f.u.
Total magnetic moment ... 1.31 μB/f.u.
Formation energy (no corrections) ... 136 kJ/mol of formula units


The following is a GGA-PBE calculation of crystalline Tb6Ho2In at its relaxed geometry, from Alexandria. Values from VASP.

Quantum ESPRESSO input file:
```
&SYSTEM
  ibrav = 0, nat = 18, ntyp = 3
/
ATOMIC_SPECIES
Tb 158.93 Tb.upf
Ho 164.93 Ho.upf
In 114.82 In.upf
ATOMIC_POSITIONS crystal
Tb 0.482 0.690 0.415
Tb 0.018 0.585 0.310
Tb 0.518 0.310 0.585
Tb 0.982 0.415 0.690
Tb 0.639 0.069 0.351
Tb 0.861 0.649 0.931
Tb 0.361 0.931 0.649
Tb 0.139 0.351 0.069
Tb 0.334 0.776 0.018
Tb 0.166 0.982 0.224
Tb 0.666 0.224 0.982
Tb 0.834 0.018 0.776
Ho 0.427 0.568 0.784
Ho 0.073 0.216 0.432
Ho 0.573 0.432 0.216
Ho 0.927 0.784 0.568
In 0.250 0.128 0.872
In 0.750 0.872 0.128
CELL_PARAMETERS angstrom
6.107 -0.176 -0.170
1.285 9.637 1.282
1.285 1.593 9.590
```

Properties
Polymorph energy (0 for the lowest one) ... 0.00 eV/f.u.
Fermi-level density of states ... 11.22 states/eV/f.u.
Energy of formation from the pure elements ... -33 meV/atom
Total magnetic moment ... 0.00 μB/f.u.


The following is a GGA-PBE calculation of crystalline Th7Tl2Sn2 at its relaxed geometry, from Alexandria. Values from VASP.

Quantum ESPRESSO input file:
```
&SYSTEM
  ibrav = 0, nat = 11, ntyp = 3
/
ATOMIC_SPECIES
Th 232.04 Th.upf
Tl 204.38 Tl.upf
Sn 118.71 Sn.upf
ATOMIC_POSITIONS crystal
Th 0.000 0.293 0.500
Th 0.500 0.707 0.000
Th 0.000 0.707 0.500
Th 0.500 0.293 0.000
Th 0.000 0.000 0.000
Th 0.500 0.739 0.500
Th 0.500 0.261 0.500
Tl 0.829 0.500 0.829
Tl 0.171 0.500 0.171
Sn 0.722 0.000 0.278
Sn 0.278 0.000 0.722
CELL_PARAMETERS angstrom
-2.662 -1.965 6.335
6.960 0.351 3.036
-0.237 7.137 -0.289
```

Properties
Fermi-level density of states ... 12.88 states/eV/f.u.
Energy of formation from the pure elements ... 140 meV/atom
Total magnetic moment ... 0.00 μB/f.u.


The following is a GGA-PBE calculation of crystalline Ce7In at its relaxed geometry, from Alexandria. Values from VASP.

Quantum ESPRESSO input file:
```
&SYSTEM
  ibrav = 0, nat = 8, ntyp = 2
/
ATOMIC_SPECIES
Ce 140.12 Ce.upf
In 114.82 In.upf
ATOMIC_POSITIONS crystal
Ce 0.500 0.500 0.000
Ce 0.500 0.000 0.500
Ce 0.000 0.500 0.500
Ce 0.500 0.000 0.000
Ce 0.000 0.500 0.000
Ce 0.000 0.000 0.500
Ce 0.500 0.500 0.500
In 0.000 0.000 0.000
CELL_PARAMETERS angstrom
-5.332 -2.964 2.734
0.782 -4.204 5.139
-2.044 1.777 6.112
```

Properties
Fermi-level density of states ... 23.23 states/eV/f.u.
Energy of formation from the pure elements ... -81 meV/atom
Total magnetic moment ... 0.00 μB/f.u.


The following is a GGA-PBE calculation of crystalline DyTh2PtRh5 at its relaxed geometry, from Alexandria. Values from VASP.

Quantum ESPRESSO input file:
```
&SYSTEM
  ibrav = 0, nat = 18, ntyp = 4
/
ATOMIC_SPECIES
Dy 162.50 Dy.upf
Th 232.04 Th.upf
Pt 195.08 Pt.upf
Rh 102.91 Rh.upf
ATOMIC_POSITIONS crystal
Dy 0.250 0.250 0.500
Dy 0.750 0.750 0.500
Th 0.139 0.361 0.000
Th 0.639 0.139 0.000
Th 0.361 0.861 0.000
Th 0.861 0.639 0.000
Pt 0.250 0.750 0.500
Pt 0.750 0.250 0.500
Rh 0.947 0.447 0.270
Rh 0.676 0.176 0.730
Rh 0.053 0.553 0.730
Rh 0.176 0.053 0.730
Rh 0.553 0.676 0.730
Rh 0.824 0.947 0.270
Rh 0.447 0.324 0.270
Rh 0.324 0.824 0.270
Rh 0.500 0.500 0.000
Rh 0.000 0.000 0.000
CELL_PARAMETERS angstrom
-4.030 -1.163 7.311
-6.749 -2.845 -4.172
7.316 -2.965 -1.298
```

Properties
Fermi-level density of states ... 7.42 states/eV/f.u.
Energy of formation from the pure elements ... -414 meV/atom
Total magnetic moment ... 0.00 μB/f.u.


The following is a GGA-PBE calculation of crystalline Sr2CdPb at its relaxed geometry, from Alexandria. Values from VASP.

Quantum ESPRESSO input file:
```
&SYSTEM
  ibrav = 0, nat = 4, ntyp = 3
/
ATOMIC_SPECIES
Cd 112.41 Cd.upf
Pb 207.20 Pb.upf
Sr 87.62 Sr.upf
ATOMIC_POSITIONS crystal
Cd 0.000 0.000 0.439
Pb 0.500 0.500 0.813
Sr 0.000 0.000 0.925
Sr 0.500 0.500 0.323
CELL_PARAMETERS angstrom
-1.236 -1.454 3.560
5.173 -0.250 1.694
-0.494 6.427 2.454
```

Properties
Polymorph energy (0 for the lowest one) ... 0.97 eV/f.u.
Fermi-level density of states ... 2.86 states/eV/f.u.
Energy of formation from the pure elements ... -260 meV/atom
Total magnetic moment ... 0.00 μB/f.u.